# 1
This record from Alexandria via LeMat-Bulk describes PmNdAs after structural relaxation. The functional is GGA-PBE.

Output
**Mass density**: 6.20 Mg/m³
**SG**: P3m1, No. 156
**V**: 32.528 Å³ per atom
**Electronic total energy**: -16.73 eV/cell

a = 6.7278 Å, b = 4.0925 Å, c = 4.0925 Å
α = 120.00°, β = 90.00°, γ = 90.00°
Closest atoms and distances in Å follow each position.
Sites, in units of the cell vectors:
As: 0.9981 0.0000 0.0000  3 Pm 2.92, 3 Nd 2.94
Nd: 0.2583 0.3333 0.6667  3 As 2.94
Pm: 0.7436 0.6667 0.3333  3 As 2.92

---

# 2
This record from Alexandria via LeMat-Bulk describes PuAg2Pb after structural relaxation. The functional is GGA-PBE.

Output
**Mass density**: 11.62 Mg/m³
**SG**: P4/mmm, No. 123
**V**: 23.822 Å³ per atom
**Electronic total energy**: -23.35 eV/cell

a = 3.2439 Å, b = 3.2439 Å, c = 9.0552 Å
α = 90.00°, β = 90.00°, γ = 90.00°
Closest atoms and distances in Å follow each position.
Sites, in units of the cell vectors:
Pb: 0.5000 0.5000 0.5000  8 Ag 3.23, 4 Pb 3.24
Ag: 0.0000 0.0000 0.7508  4 Pu 3.22, 4 Pb 3.23, 4 Ag 3.24
Ag: 0.0000 0.0000 0.2492  4 Pu 3.22, 4 Pb 3.23, 4 Ag 3.24
Pu: 0.5000 0.5000 0.0000  8 Ag 3.22, 4 Pu 3.24

---

For each record above, in turn, the calculated spin magnetization values are 1.2, 5.9 μB/f.u..